The following is a PBE calculation of a relaxed Sr2Ni3AgSb4 crystal, from Alexandria via LeMat-Bulk.

Unit cell a=4.607 b=4.607 c=10.515 alpha=90.00 beta=90.00 gamma=90.00
Element x y z (fractional)
Sr (0.000, 0.500, 0.248)
Sr (0.500, 0.000, 0.752)
Ni (0.000, 0.000, 0.000)
Ni (0.000, 0.500, 0.616)
Ni (0.500, 0.000, 0.384)
Ag (0.500, 0.500, 0.000)
Sb (0.000, 0.000, 0.500)
Sb (0.000, 0.500, 0.858)
Sb (0.500, 0.000, 0.142)
Sb (0.500, 0.500, 0.500)

Its energy relative to the elements, uncorrected is -0.501 eV/atom. The volume comes out at 22.3 A^3/atom. As for the total DFT energy (no corrections): -45.1 eV/f.u.